VASP calculation (GGA-PBEsol) on an optimized crystal structure of FeRu2Rh.

Results
ΔE to the lowest computed polymorph ... 32.2 kJ per mole of atoms
Space-group type ... No. 225
Energy of formation from the pure elements ... 0.424 eV/atom

Unit cell a=5.9477 b=5.9477 c=5.9477 alpha=90.00 beta=90.00 gamma=90.00
Atoms (fractional coordinates):
Fe 0.0000 0.0000 0.0000
Fe 0.0000 0.5000 0.5000
Fe 0.5000 0.0000 0.5000
Fe 0.5000 0.5000 0.0000
Ru 0.2500 0.2500 0.2500
Ru 0.2500 0.2500 0.7500
Ru 0.2500 0.7500 0.2500
Ru 0.2500 0.7500 0.7500
Ru 0.7500 0.2500 0.2500
Ru 0.7500 0.2500 0.7500
Ru 0.7500 0.7500 0.2500
Ru 0.7500 0.7500 0.7500
Rh 0.0000 0.0000 0.5000
Rh 0.0000 0.5000 0.0000
Rh 0.5000 0.0000 0.0000
Rh 0.5000 0.5000 0.5000